Record 1
Entry from Alexandria: CaPdF6 at its PBEsol-relaxed geometry (meta-GGA SCAN).

CIF file:
```
data_CaPdF6
_symmetry_space_group_name_H-M 'R -3'
_symmetry_Int_Tables_number 148
_symmetry_space_group_name_Hall '-R 3'
_cell_length_a 5.1970
_cell_length_b 5.1970
_cell_length_c 14.5053
_cell_angle_alpha 90.00
_cell_angle_beta 90.00
_cell_angle_gamma 120.00
loop_
_atom_site_label
_atom_site_type_symbol
_atom_site_fract_x
_atom_site_fract_y
_atom_site_fract_z
Ca1 Ca 0.0000 0.0000 0.0000
Pd1 Pd 0.0000 0.0000 0.5000
F1 F 0.0058 0.7048 0.4228
```

Properties
Its uncorrected formation energy is -57.54 kcal/mol of atoms. The magnetization comes out at 0.00 μB/atom. Its uncorrected energy is -10.455 eV/atom.

---

Record 2
Entry from Alexandria: CaPtF2 at its PBEsol-relaxed geometry (meta-GGA SCAN).

CIF file:
```
data_CaPtF2
_symmetry_space_group_name_H-M 'R -3 m'
_symmetry_Int_Tables_number 166
_symmetry_space_group_name_Hall '-R 3 2"'
_cell_length_a 3.1098
_cell_length_b 3.1098
_cell_length_c 26.6388
_cell_angle_alpha 90.00
_cell_angle_beta 90.00
_cell_angle_gamma 120.00
loop_
_atom_site_label
_atom_site_type_symbol
_atom_site_fract_x
_atom_site_fract_y
_atom_site_fract_z
Ca1 Ca 0.0000 0.0000 0.0000
Pt1 Pt 0.0000 0.0000 0.5000
F1 F 0.0000 0.0000 0.3782
```

Properties
Its uncorrected formation energy is -48.29 kcal/mol of atoms. The magnetization comes out at 0.23 μB/atom. Its uncorrected energy is -23.828 eV/atom.

---

Record 3
Entry from Alexandria: Ca3PtF at its PBEsol-relaxed geometry (meta-GGA SCAN).

CIF file:
```
data_Ca3PtF
_symmetry_space_group_name_H-M 'P m -3 m'
_symmetry_Int_Tables_number 221
_symmetry_space_group_name_Hall '-P 4 2 3'
_cell_length_a 5.467
_cell_length_b 5.467
_cell_length_c 5.467
_cell_angle_alpha 90.00
_cell_angle_beta 90.00
_cell_angle_gamma 90.00
loop_
_atom_site_label
_atom_site_type_symbol
_atom_site_fract_x
_atom_site_fract_y
_atom_site_fract_z
Ca1 Ca 0.000 0.000 0.500
Pt1 Pt 0.000 0.000 0.000
F1 F 0.500 0.500 0.500
```

Properties
Its uncorrected formation energy is -22.54 kcal/mol of atoms. The magnetization comes out at 0.00 μB/atom. Its uncorrected energy is -21.522 eV/atom.

---

Record 4
Entry from Alexandria: Rb2CaF2 at its PBEsol-relaxed geometry (meta-GGA SCAN).

CIF file:
```
data_Rb2CaF2
_symmetry_space_group_name_H-M 'I 4/m m m'
_symmetry_Int_Tables_number 139
_symmetry_space_group_name_Hall '-I 4 2'
_cell_length_a 4.905
_cell_length_b 4.905
_cell_length_c 14.909
_cell_angle_alpha 90.00
_cell_angle_beta 90.00
_cell_angle_gamma 90.00
loop_
_atom_site_label
_atom_site_type_symbol
_atom_site_fract_x
_atom_site_fract_y
_atom_site_fract_z
Rb1 Rb 0.000 0.000 0.186
Ca1 Ca 0.000 0.000 0.500
F1 F 0.000 0.500 0.250
```

Properties
Its uncorrected formation energy is -42.01 kcal/mol of atoms. The magnetization comes out at 0.00 μB/atom. Its uncorrected energy is -13.466 eV/atom.

---

uncorrected energy of number 4 (Rb2CaF2)? -13.466 eV/atom